No. 1
Density functional theory data (PBE-GGA) for an optimized crystal structure of La2SbMo.

Properties
Its space group is No. 65. The calculation puts the mass density at 7.5 Mg/m³. As for the crystal system: orthorhombic. The value obtained for the raw formation energy is -0.04 eV/f.u. Its spin magnetization is 1.32 Bohr magnetons per cell.

a b c (Å): 3.554 3.554 8.869
angles (deg): 90.00 90.00 100.54
Site moments in Bohr magnetons follow the coordinates.
Fractional positions:
La: 0.000 0.000 0.473  0.03
La: 0.000 0.000 0.027  0.03
Mo: 0.500 0.500 0.250  1.09
Sb: 0.500 0.500 0.750  0.02

No. 2
Density functional theory data (PBE-GGA) for an optimized crystal structure of LaSbMo2.

Properties
Its space group is No. 123. The calculation puts the mass density at 8.4 Mg/m³. As for the crystal system: tetragonal. The value obtained for the raw formation energy is 1.28 eV/f.u. Its spin magnetization is 0.00 Bohr magnetons per cell.

a b c (Å): 3.650 3.653 6.691
angles (deg): 90.00 90.00 90.00
Fractional positions:
La: 0.500 0.500 0.750
Sb: 0.500 0.500 0.250
Mo: 0.000 0.000 0.065
Mo: 0.000 0.000 0.435

No. 3
Density functional theory data (PBE-GGA) for an optimized crystal structure of La2SbMo.

Properties
Its space group is No. 123. The calculation puts the mass density at 7.8 Mg/m³. As for the crystal system: tetragonal. The value obtained for the raw formation energy is -0.40 eV/f.u. Its spin magnetization is 0.79 Bohr magnetons per cell.

a b c (Å): 4.958 4.958 4.305
angles (deg): 90.00 90.00 89.99
Site moments in Bohr magnetons follow the coordinates.
Fractional positions:
Mo: 0.500 0.000 0.500  0.72
La: 0.000 0.000 0.000  -0.01
La: 0.500 0.500 0.000  -0.01
Sb: 0.000 0.500 0.500  0.00

No. 4
Density functional theory data (PBE-GGA) for an optimized crystal structure of LaSbMo2.

Properties
Its space group is No. 6. The calculation puts the mass density at 8.6 Mg/m³. As for the crystal system: monoclinic. The value obtained for the raw formation energy is 0.62 eV/f.u. Its spin magnetization is 0.00 Bohr magnetons per cell.

a b c (Å): 4.695 3.510 5.475
angles (deg): 75.20 90.00 90.00
Fractional positions:
Sb: 0.000 0.369 0.489
La: 0.500 0.756 0.727
Mo: 0.000 0.037 0.081
Mo: 0.500 0.338 0.204

No. 5
Density functional theory data (PBE-GGA) for an optimized crystal structure of LaSbMo2.

Properties
Its space group is No. 166. The calculation puts the mass density at 8.7 Mg/m³. As for the crystal system: trigonal. The value obtained for the raw formation energy is 2.70 eV/f.u. Its spin magnetization is 0.79 Bohr magnetons per cell.

a b c (Å): 8.789 8.789 8.789
angles (deg): 22.34 22.34 22.34
Site moments in Bohr magnetons follow the coordinates.
Fractional positions:
La: 0.250 0.250 0.250  0.01
Mo: 0.007 0.007 0.007  0.36
Mo: 0.493 0.493 0.493  0.36
Sb: 0.750 0.750 0.750  -0.02

No. 6
Density functional theory data (PBE-GGA) for an optimized crystal structure of LaSbMo2.

Properties
Its space group is No. 12. The calculation puts the mass density at 8.0 Mg/m³. As for the crystal system: monoclinic. The value obtained for the raw formation energy is 0.67 eV/f.u. Its spin magnetization is 0.00 Bohr magnetons per cell.

a b c (Å): 5.205 5.205 5.594
angles (deg): 77.36 77.36 39.86
Fractional positions:
La: 0.250 0.250 0.250
Mo: 0.489 0.489 0.600
Mo: 0.011 0.011 0.900
Sb: 0.750 0.750 0.750

Number 1: total DFT energy (no corrections) -6.21 eV/atom. Number 2: total DFT energy (no corrections) -7.36 eV/atom. Number 3: total DFT energy (no corrections) -6.30 eV/atom. Number 4: total DFT energy (no corrections) -7.52 eV/atom. Number 5: total DFT energy (no corrections) -7.00 eV/atom. Number 6: total DFT energy (no corrections) -7.51 eV/atom.